# 1
VASP calculation (PBE) on PmTaNbSi2 after structural relaxation.

## Properties
- formation energy without anion corrections (eV per atom) = -0.6443
- DOS(E_F) (states/eV/f.u.) = 2.190
- calculated density (Mg/m³) = 8.147
- total DFT energy (no corrections) (eV per atom) = -8.148

Cell: 4.054 4.054 6.552 Å, 108.02 108.02 90.00°
Fractional coordinates of all 5 atoms:
Pm (0.000, 0.000, 0.000)
Ta (0.250, 0.750, 0.500)
Nb (0.750, 0.250, 0.500)
Si (0.603, 0.603, 0.206)
Si (0.397, 0.397, 0.794)


# 2
VASP calculation (PBE) on PmNbSi2Tc after structural relaxation.

## Properties
- formation energy without anion corrections (eV per atom) = -0.6363
- DOS(E_F) (states/eV/f.u.) = 2.750
- calculated density (Mg/m³) = 7.046
- total DFT energy (no corrections) (eV per atom) = -7.843

Cell: 4.058 4.058 6.301 Å, 108.79 108.79 90.00°
Fractional coordinates of all 5 atoms:
Pm (0.000, 0.000, 0.000)
Nb (0.250, 0.750, 0.500)
Si (0.610, 0.610, 0.219)
Si (0.390, 0.390, 0.781)
Tc (0.750, 0.250, 0.500)


# 3
VASP calculation (PBE) on PmNbSn2 after structural relaxation.

## Properties
- ΔE_f (kJ per mole of atoms) = -24
- DOS(E_F) (states/eV/f.u.) = 4.146
- calculated density (Mg/m³) = 8.254
- total DFT energy (no corrections) (eV per atom) = -5.951

Cell: 3.666 3.666 7.116 Å, 90.00 90.00 90.00°
Fractional coordinates of all 4 atoms:
Nb (0.500, 0.500, 0.000)
Sn (0.000, 0.000, 0.791)
Sn (0.000, 0.000, 0.209)
Pm (0.500, 0.500, 0.500)